Below is a relaxed In2CuPt crystal, with properties calculated at the GGA-PBE level.

Output
SG   F-43m
Energy relative to the elements   20 meV/atom

Cell and atoms, written as extended XYZ:
```
4
Lattice="-3.867 0.958 2.485 -2.284 -3.454 2.214 0.099 -0.253 4.687" Properties=species:S:1:pos:R:3 pbc="T T T"
Pt -4.539 -2.062 7.039
In 0.000 0.000 0.000
In -1.513 -0.687 2.346
Cu -3.026 -1.375 4.693
```